# KPdRu3 (PBE, relaxed)
data_KPdRu3
_chemical_formula_sum 'K1 Pd1 Ru3'
_cell_length_a 4.578
_cell_length_b 4.578
_cell_length_c 4.578
_cell_angle_alpha 90.00
_cell_angle_beta 90.00
_cell_angle_gamma 90.00
_space_group_name_H-M_alt 'P m -3 m'
_space_group_IT_number 221
_space_group_name_Hall '-P 4 2 3'
loop_
_atom_site_label
_atom_site_type_symbol
_atom_site_fract_x
_atom_site_fract_y
_atom_site_fract_z
K1 K 0.000 0.000 0.000
Pd1 Pd 0.500 0.500 0.500
Ru1 Ru 0.000 0.000 0.500
# **Theoretical density**: 7.77 g/cm³
# **Fermi-level density of states**: 5.94 states/eV/cell
# **Relative energy among the computed polymorphs**: 1083 meV/atom
# **Magnetic moment**: 5.81 μB/f.u.